Compound: CaTi3I
Source: the Alexandria database
Functional: GGA-PBE
Structure: optimized geometry

Cell: 5.0720 5.0720 5.0720 Å, 90.00 90.00 90.00°
Closest atoms and distances in Å follow each position.
Space group Pm-3m (No. 221)
Unique sites:
1 Ca 0.0000 0.0000 0.0000  12 Ti 3.59
2 Ti 0.0000 0.5000 0.5000  2 I 2.54
3 I 0.5000 0.5000 0.5000  6 Ti 2.54

Results
**Formation energy from raw total energies**: 0.77 eV/atom
**Fermi-level density of states**: 9.24 states/eV per cell
**Offset from the most stable computed form**: 0.0 meV/atom


Compound: Ca2TiI2
Source: the Alexandria database
Functional: GGA-PBE
Structure: optimized geometry

Cell: 5.2370 5.2370 14.5210 Å, 90.00 90.00 90.00°
Closest atoms and distances in Å follow each position.
Space group I4/mmm (No. 139)
Unique sites:
1 Ca 0.0000 0.0000 0.1235  4 I 3.20
2 Ti 0.0000 0.0000 0.5000  8 Ca 4.11, 8 I 4.48
3 I 0.0000 0.5000 0.2500  4 Ca 3.20

Results
**Formation energy from raw total energies**: -0.08 eV/atom
**Fermi-level density of states**: 12.83 states/eV per cell
**Offset from the most stable computed form**: 24.8 meV/atom


Compound: Ca2TiI2
Source: the Alexandria database
Functional: GGA-PBE
Structure: optimized geometry

Cell: 9.2128 9.2128 3.8279 Å, 90.00 90.00 90.00°
Closest atoms and distances in Å follow each position.
Space group P4/mbm (No. 127)
Unique sites:
1 Ca 0.1616 0.3384 0.0000  6 I 3.23-3.37, 2 Ti 3.45
2 Ti 0.0000 0.0000 0.0000  4 Ca 3.45, 2 Ti 3.83
3 I 0.1387 0.6387 0.5000  6 Ca 3.23-3.37, 1 I 3.62

Results
**Formation energy from raw total energies**: -0.10 eV/atom
**Fermi-level density of states**: 9.74 states/eV per cell
**Offset from the most stable computed form**: 0.0 meV/atom


Compound: CaTiI2
Source: the Alexandria database
Functional: GGA-PBE
Structure: optimized geometry

Cell: 7.3969 7.3969 7.3969 Å, 90.00 90.00 90.00°
Closest atoms and distances in Å follow each position.
Space group Fm-3m (No. 225)
Unique sites:
1 Ca 0.0000 0.0000 0.0000  8 I 3.20
2 Ti 0.0000 0.0000 0.5000  8 I 3.20
3 I 0.2500 0.2500 0.2500  4 Ca 3.20, 4 Ti 3.20

Results
**Formation energy from raw total energies**: -0.26 eV/atom
**Fermi-level density of states**: 0.29 states/eV per cell


Compound: CaTi2I2
Source: the Alexandria database
Functional: GGA-PBE
Structure: optimized geometry

Cell: 8.3027 8.3027 3.5055 Å, 90.00 90.00 90.00°
Closest atoms and distances in Å follow each position.
Space group P4/mbm (No. 127)
Unique sites:
1 Ca 0.0000 0.0000 0.0000  4 I 3.13, 2 Ca 3.51
2 Ti 0.1177 0.3823 0.5000  1 Ti 2.76, 4 I 2.89
3 I 0.1563 0.6563 0.0000  6 Ti 2.89-3.18, 2 Ca 3.13

Results
**Formation energy from raw total energies**: 0.17 eV/atom
**Fermi-level density of states**: 15.05 states/eV per cell
**Offset from the most stable computed form**: 330.2 meV/atom


Compound: CaTi2I2
Source: the Alexandria database
Functional: GGA-PBE
Structure: optimized geometry

Cell: 3.9322 3.9322 15.8630 Å, 90.00 90.00 90.00°
Closest atoms and distances in Å follow each position.
Space group I4/mmm (No. 139)
Unique sites:
1 Ca 0.0000 0.0000 0.0000  8 I 3.34
2 Ti 0.0000 0.5000 0.2500  4 Ti 2.78, 4 I 2.89
3 I 0.0000 0.0000 0.3834  4 Ti 2.89

Results
**Formation energy from raw total energies**: -0.16 eV/atom
**Fermi-level density of states**: 3.97 states/eV per cell
**Offset from the most stable computed form**: 0.0 meV/atom